Entry 1:
! LiErCd2Pd4 | the Alexandria database | PBE | relaxed; values from VASP
! DOS(E_F) = 3.49 states/eV/f.u.
! Energy of formation from the pure elements = -57 kJ/mol of atoms
! Crystal system = trigonal
! Space group = R-3m, No. 166
&SYSTEM
  ibrav = 0, nat = 8, ntyp = 4
/
ATOMIC_SPECIES
Cd 112.41 Cd.upf
Pd 106.42 Pd.upf
Er 167.26 Er.upf
Li 6.94 Li.upf
ATOMIC_POSITIONS crystal
Cd 0.752 0.752 0.743
Cd 0.248 0.248 0.257
Pd 0.380 0.380 0.859
Pd 0.620 0.620 0.141
Pd 0.874 0.874 0.377
Pd 0.126 0.126 0.623
Er 0.000 0.000 0.000
Li 0.500 0.500 0.500
CELL_PARAMETERS angstrom
4.646 0.000 0.000
2.323 4.024 0.000
2.323 1.341 7.548


Entry 2:
! Li2Er2CdPd5 | the Alexandria database | PBE | relaxed; values from VASP
! DOS(E_F) = 5.21 states/eV/f.u.
! Energy of formation from the pure elements = -63 kJ/mol of atoms
! Crystal system = tetragonal
! Space group = P4/mbm, No. 127
&SYSTEM
  ibrav = 0, nat = 20, ntyp = 4
/
ATOMIC_SPECIES
Li 6.94 Li.upf
Pd 106.42 Pd.upf
Cd 112.41 Cd.upf
Er 167.26 Er.upf
ATOMIC_POSITIONS crystal
Li 0.000 0.881 0.381
Li 0.000 0.619 0.881
Li 0.000 0.381 0.119
Li 0.000 0.119 0.619
Pd 0.500 0.289 0.570
Pd 0.500 0.000 0.500
Pd 0.500 0.070 0.789
Pd 0.500 0.930 0.211
Pd 0.500 0.711 0.430
Pd 0.500 0.500 0.000
Pd 0.500 0.211 0.070
Pd 0.500 0.789 0.930
Pd 0.500 0.430 0.289
Pd 0.500 0.570 0.711
Cd 0.000 0.500 0.500
Cd 0.000 0.000 0.000
Er 0.000 0.321 0.821
Er 0.000 0.821 0.679
Er 0.000 0.179 0.321
Er 0.000 0.679 0.179
CELL_PARAMETERS angstrom
-3.123 1.386 1.451
-5.161 -5.144 -6.194
-0.302 -7.228 6.255